Entry from Alexandria: a relaxed Re2PtRh crystal (PBE).

Lattice parameters (Å, degrees): 4.4267 2.7357 4.8784 89.99 90.00 90.00
Fractional positions:
Pt1 0.5000 0.6251 0.7832
Re1 0.0000 0.1251 0.9720
Re2 0.5000 0.1249 0.2835
Rh1 0.0000 0.6248 0.4612

Values from the calculation:
Calculated volume = 59 Å³/f.u.
Calculated formation energy = -0.123 eV per atom


Entry from Alexandria: a relaxed BeTeIrN2 crystal (PBE).

Lattice parameters (Å, degrees): 3.5633 3.5633 6.7773 90.00 90.00 90.00
Each line ends with the local moment (μB).
Fractional positions:
N1 0.0000 0.5000 0.0000  0.61
N2 0.5000 0.0000 0.0000  0.61
Ir1 0.5000 0.5000 0.5000  0.03
Be1 0.0000 0.0000 0.0000  -0.03
Te1 0.0000 0.0000 0.5000  0.01

Values from the calculation:
Calculated volume = 86 Å³/f.u.
ΔE_f (raw) = 1.51 eV/atom


Entry from Alexandria: a relaxed LiHoIr2 crystal (PBE).

Lattice parameters (Å, degrees): 4.0671 4.0288 4.0288 90.00 90.00 90.00
Fractional positions:
Ho1 0.5000 0.0000 0.0000
Li1 0.5000 0.5000 0.5000
Ir1 0.0000 0.0000 0.5000
Ir2 0.0000 0.5000 0.0000

Values from the calculation:
Calculated volume = 66 Å³/f.u.
Calculated formation energy = -0.398 eV per atom


Entry from Alexandria: a relaxed YHgB2O6 crystal (PBE).

Lattice parameters (Å, degrees): 6.5050 6.5050 6.6558 100.86 100.86 107.26
Fractional positions:
O1 0.0645 0.4901 0.7699
O2 0.7074 0.5071 0.6048
O3 0.4929 0.2926 0.8952
O4 0.4901 0.0645 0.2699
O5 0.7769 0.9217 0.4106
O6 0.5071 0.7074 0.1048
O7 0.5099 0.9355 0.7301
O8 0.9355 0.5099 0.2301
O9 0.2926 0.4929 0.3952
O10 0.9217 0.7769 0.9106
O11 0.2231 0.0783 0.5894
O12 0.0783 0.2231 0.0894
B1 0.0963 0.4131 0.2385
B2 0.9037 0.5869 0.7615
B3 0.5869 0.9037 0.2615
B4 0.4131 0.0963 0.7385
Y1 0.4248 0.5752 0.7500
Y2 0.5752 0.4248 0.2500
Hg1 0.1007 0.8993 0.2500
Hg2 0.8993 0.1007 0.7500

Values from the calculation:
Calculated volume = 128 Å³/f.u.
ΔE_f (raw) = -2.10 eV/atom


Entry from Alexandria: a relaxed Sm3In2Hg crystal (PBE).

Lattice parameters (Å, degrees): 3.6865 3.6865 12.2727 90.00 90.00 90.00
Fractional positions:
Hg1 0.5000 0.5000 0.5000
In1 0.5000 0.5000 0.1701
In2 0.5000 0.5000 0.8299
Sm1 0.0000 0.0000 0.0000
Sm2 0.0000 0.0000 0.6635
Sm3 0.0000 0.0000 0.3365

Values from the calculation:
Calculated volume = 167 Å³/f.u.
Calculated formation energy = -0.485 eV per atom


Entry from Alexandria: a relaxed CsOsBr6 crystal (PBE).

Lattice parameters (Å, degrees): 7.3944 7.3944 7.8703 61.98 61.98 60.00
Each line ends with the local moment (μB).
Fractional positions:
Br1 0.9137 0.9137 0.7833  0.11
Br2 0.3893 0.9137 0.7833  0.11
Br3 0.6107 0.0863 0.2167  0.11
Br4 0.9137 0.3893 0.7833  0.11
Br5 0.0863 0.0863 0.2167  0.11
Br6 0.0863 0.6107 0.2167  0.11
Os1 0.0000 0.0000 0.0000  1.90
Cs1 0.5000 0.5000 0.5000  0.01

Values from the calculation:
Calculated volume = 313 Å³/f.u.
ΔE_f (raw) = -0.56 eV/atom


Entry from Alexandria: a relaxed Pm6Tm2Cd crystal (PBE).

Lattice parameters (Å, degrees): 6.3023 11.3658 11.3658 47.78 106.09 106.09
Fractional positions:
Pm1 0.0810 0.0804 0.5808
Pm2 0.2874 0.4946 0.3469
Pm3 0.9190 0.9196 0.4192
Pm4 0.5550 0.9951 0.8469
Pm5 0.7874 0.3469 0.4946
Pm6 0.4190 0.4192 0.9196
Pm7 0.7126 0.5054 0.6531
Pm8 0.9450 0.1531 0.0049
Pm9 0.4450 0.0049 0.1531
Pm10 0.5810 0.5808 0.0804
Pm11 0.0550 0.8469 0.9951
Pm12 0.2126 0.6531 0.5054
Tm1 0.5715 0.8277 0.6724
Tm2 0.9285 0.3276 0.1723
Tm3 0.4285 0.1723 0.3276
Tm4 0.0715 0.6724 0.8277
Cd1 0.7500 0.7498 0.2502
Cd2 0.2500 0.2502 0.7498

Values from the calculation:
Calculated volume = 287 Å³/f.u.
Calculated formation energy = 0.015 eV per atom


Entry from Alexandria: a relaxed LiP2O crystal (PBE).

Lattice parameters (Å, degrees): 3.5967 3.5967 8.7156 78.09 78.09 90.00
Fractional positions:
P1 0.0509 0.6250 0.2500
P2 0.6991 0.1250 0.2500
P3 0.8750 0.9491 0.7500
P4 0.3750 0.3009 0.7500
O1 0.7500 0.2500 0.5000
O2 0.0000 0.0000 0.0000
Li1 0.5000 0.5000 0.0000
Li2 0.2500 0.7500 0.5000

Values from the calculation:
Calculated volume = 54 Å³/f.u.
ΔE_f (raw) = -0.26 eV/atom


Entry from Alexandria: a relaxed MgZn2HRh crystal (PBE).

Lattice parameters (Å, degrees): 3.9311 3.9311 4.0069 90.00 90.00 90.00
Fractional positions:
Mg1 0.0000 0.0000 0.5000
Zn1 0.5000 0.0000 0.0000
Zn2 0.0000 0.5000 0.0000
Rh1 0.5000 0.5000 0.5000
H1 0.0000 0.0000 0.0000

Values from the calculation:
Calculated volume = 62 Å³/f.u.
Calculated total energy = -0.2294 Ry per atom


Entry from Alexandria: a relaxed Ag2TeI crystal (PBE).

Lattice parameters (Å, degrees): 4.0766 4.0766 7.9942 75.23 75.23 60.00
Fractional positions:
Ag1 0.0766 0.0766 0.7701
Ag2 0.2589 0.2589 0.2234
I1 0.4962 0.4962 0.5113
Te1 0.6683 0.6683 0.9952

Values from the calculation:
Calculated volume = 110 Å³/f.u.
ΔE_f (raw) = 0.00 eV/atom


Entry from Alexandria: a relaxed TmSi6 crystal (PBE).

Lattice parameters (Å, degrees): 5.7586 5.7586 5.7586 109.47 109.47 109.47
Fractional positions:
Si1 0.7500 0.2500 0.5000
Si2 0.5000 0.2500 0.7500
Si3 0.5000 0.7500 0.2500
Si4 0.2500 0.7500 0.5000
Si5 0.2500 0.5000 0.7500
Si6 0.7500 0.5000 0.2500
Tm1 0.0000 0.0000 0.0000

Values from the calculation:
Calculated volume = 147 Å³/f.u.
ΔE_f (raw) = 0.23 eV/atom


Entry from Alexandria: a relaxed BeCo2Si crystal (PBE).

Lattice parameters (Å, degrees): 2.5615 3.2776 4.8069 90.00 90.00 90.00
Each line ends with the local moment (μB).
Fractional positions:
Be1 0.5000 0.5000 0.7741  -0.01
Co1 0.0000 0.0000 0.9631  0.17
Co2 0.5000 0.5000 0.2716  0.05
Si1 0.0000 0.0000 0.4913  0.00

Values from the calculation:
Calculated volume = 40 Å³/f.u.
ΔE_f (raw) = -0.26 eV/atom


Entry from Alexandria: a relaxed Tb5Pr8Sm crystal (PBE).

Lattice parameters (Å, degrees): 8.6487 8.6487 8.6487 111.27 105.93 111.27
Fractional positions:
Pr1 0.6674 0.3960 0.9250
Pr2 0.1662 0.7322 0.0722
Pr3 0.9278 0.0939 0.6599
Pr4 0.7287 0.2577 0.3326
Pr5 0.5290 0.6040 0.2713
Pr6 0.0750 0.7423 0.4710
Pr7 0.3401 0.2678 0.4340
Pr8 0.5660 0.9061 0.8338
Sm1 0.2500 0.5000 0.7500
Tb1 0.5000 0.0000 0.5000
Tb2 0.8691 0.9037 0.1811
Tb3 0.2774 0.0963 0.9653
Tb4 0.8189 0.6880 0.7226
Tb5 0.0347 0.3120 0.1309

Values from the calculation:
Calculated volume = 497 Å³/f.u.
Calculated formation energy = 0.237 eV per atom


Entry from Alexandria: a relaxed PmGa3CuPd crystal (PBE).

Lattice parameters (Å, degrees): 6.1023 6.0412 6.8365 116.22 90.00 90.00
Fractional positions:
Ga1 0.5000 0.2891 0.0000
Ga2 0.2500 0.1471 0.2941
Ga3 0.7500 0.8529 0.7059
Ga4 0.0000 0.2891 0.0000
Ga5 0.5000 0.7109 0.0000
Ga6 0.0000 0.7109 0.0000
Pm1 0.7500 0.2845 0.5690
Pm2 0.2500 0.7155 0.4310
Pd1 0.2500 0.3538 0.7077
Pd2 0.7500 0.6462 0.2923
Cu1 0.2500 0.9402 0.8805
Cu2 0.7500 0.0598 0.1195

Values from the calculation:
Calculated volume = 113 Å³/f.u.
Calculated formation energy = -0.371 eV per atom


Entry from Alexandria: a relaxed Ce2ErUAs4 crystal (PBE).

Lattice parameters (Å, degrees): 4.1380 7.2063 7.1804 109.27 90.00 90.00
Each line ends with the local moment (μB).
Fractional positions:
Ce1 0.5000 0.0000 0.5000  0.67
Ce2 0.0000 0.5000 0.5000  0.68
As1 0.5000 0.2482 0.2411  -0.03
As2 0.0000 0.2530 0.7594  -0.05
As3 0.0000 0.7470 0.2406  -0.05
As4 0.5000 0.7518 0.7589  -0.03
Er1 0.0000 0.0000 0.0000  0.01
U1 0.5000 0.5000 0.0000  2.22

Values from the calculation:
Calculated volume = 202 Å³/f.u.
Calculated formation energy = -1.268 eV per atom


Entry from Alexandria: a relaxed PrSmSeN crystal (PBE).

Lattice parameters (Å, degrees): 3.8145 3.8145 7.1348 74.50 74.50 60.00
Fractional positions:
Se1 0.7525 0.7525 0.7425
N1 0.2467 0.2467 0.2598
Sm1 0.5166 0.5166 0.4503
Pr1 0.9842 0.9842 0.0473

Values from the calculation:
Calculated volume = 86 Å³/f.u.
ΔE_f (raw) = -1.61 eV/atom


Entry from Alexandria: a relaxed Li2CrCu crystal (PBE).

Lattice parameters (Å, degrees): 3.0985 4.2618 4.4607 90.00 90.00 90.00
Each line ends with the local moment (μB).
Fractional positions:
Cr1 0.5000 0.0000 0.5000  3.62
Li1 0.5000 0.5000 0.0000  -0.03
Li2 0.0000 0.0000 0.0000  0.02
Cu1 0.0000 0.5000 0.5000  0.12

Values from the calculation:
Calculated volume = 59 Å³/f.u.
Calculated formation energy = 0.292 eV per atom


Entry from Alexandria: a relaxed Pu3U2H8 crystal (PBE).

Lattice parameters (Å, degrees): 4.0300 6.1986 6.1954 80.51 90.00 90.00
Each line ends with the local moment (μB).
Fractional positions:
U1 0.5000 0.2616 0.2618  1.35
U2 0.5000 0.7384 0.7382  1.35
H1 0.0000 0.8774 0.8774  0.00
H2 0.5000 0.6300 0.1094  -0.01
H3 0.0000 0.6483 0.6479  -0.02
H4 0.0000 0.3517 0.3521  -0.02
H5 0.5000 0.8905 0.3697  -0.01
H6 0.5000 0.3700 0.8906  -0.01
H7 0.5000 0.1095 0.6303  -0.01
H8 0.0000 0.1226 0.1226  0.00
Pu1 0.5000 0.0000 0.0000  -3.10
Pu2 0.0000 0.7109 0.2885  5.24
Pu3 0.0000 0.2891 0.7115  5.24

Values from the calculation:
Calculated volume = 153 Å³/f.u.
Calculated total energy = -0.5252 Ry per atom


Entry from Alexandria: a relaxed Ba5P2O2 crystal (PBE).

Lattice parameters (Å, degrees): 7.4938 7.5172 11.6103 108.59 108.53 90.87
Fractional positions:
Ba1 0.6828 0.1848 0.7819
Ba2 0.2689 0.7689 0.5378
Ba3 0.6727 0.8290 0.0000
Ba4 0.2495 0.2495 0.4990
Ba5 0.0991 0.5971 0.7819
Ba6 0.9009 0.4029 0.2181
Ba7 0.3273 0.1710 0.0000
Ba8 0.7311 0.2311 0.4622
Ba9 0.3172 0.8152 0.2181
Ba10 0.7505 0.7505 0.5010
O1 0.3260 0.8253 0.0000
O2 0.5000 0.0000 0.5000
O3 0.6740 0.1747 0.0000
O4 0.0000 0.5000 0.5000
P1 0.6325 0.5776 0.7109
P2 0.0784 0.1332 0.7109
P3 0.3675 0.4224 0.2891
P4 0.9216 0.8668 0.2891

Values from the calculation:
Calculated volume = 291 Å³/f.u.
ΔE_f (raw) = -1.64 eV/atom


Entry from Alexandria: a relaxed MgHIr5 crystal (PBE).

Lattice parameters (Å, degrees): 4.8351 4.8188 4.8187 119.98 100.16 100.16
Fractional positions:
H1 0.0095 0.1201 0.1956
Ir1 0.3204 0.2200 0.6346
Ir2 0.8116 0.3995 0.4749
Ir3 0.8130 0.0580 0.7837
Ir4 0.3204 0.5593 0.2954
Ir5 0.8130 0.7083 0.1334
Mg1 0.3233 0.8841 0.9594

Values from the calculation:
Calculated volume = 91 Å³/f.u.
Calculated total energy = -0.5189 Ry per atom


Entry from Alexandria: a relaxed Ti2TcAu2 crystal (PBE).

Lattice parameters (Å, degrees): 3.7571 3.7571 6.8536 74.09 74.09 90.00
Fractional positions:
Ti1 0.2500 0.7500 0.5000
Ti2 0.7500 0.2500 0.5000
Tc1 0.0000 0.0000 0.0000
Au1 0.3985 0.3985 0.2029
Au2 0.6015 0.6015 0.7971

Values from the calculation:
Calculated volume = 89 Å³/f.u.
Calculated formation energy = 0.437 eV per atom


Entry from Alexandria: a relaxed LaHfSc crystal (PBE).

Lattice parameters (Å, degrees): 3.3486 3.3486 8.2463 90.00 90.00 120.00
Fractional positions:
Sc1 0.3333 0.6667 0.6431
La1 0.0000 0.0000 0.0111
Hf1 0.6667 0.3333 0.3459

Values from the calculation:
Calculated volume = 80 Å³/f.u.
Calculated formation energy = 0.155 eV per atom


Entry from Alexandria: a relaxed Cs3TlAg crystal (PBE).

Lattice parameters (Å, degrees): 7.0535 7.0535 7.0535 90.00 90.00 90.00
Fractional positions:
Tl1 0.5000 0.5000 0.5000
Cs1 0.0000 0.0000 0.5000
Cs2 0.0000 0.5000 0.0000
Cs3 0.5000 0.0000 0.0000
Ag1 0.0000 0.0000 0.0000

Values from the calculation:
Calculated volume = 351 Å³/f.u.
Calculated formation energy = 0.162 eV per atom


Entry from Alexandria: a relaxed LaTaAs2 crystal (PBE).

Lattice parameters (Å, degrees): 3.3713 3.3720 7.2260 90.00 90.00 90.00
Fractional positions:
Ta1 0.5000 0.5000 0.7500
La1 0.5000 0.5000 0.2500
As1 0.0000 0.0000 0.5456
As2 0.0000 0.0000 0.9544

Values from the calculation:
Calculated volume = 82 Å³/f.u.
Calculated formation energy = -0.625 eV per atom


Entry from Alexandria: a relaxed NaPrMg2 crystal (PBE).

Lattice parameters (Å, degrees): 5.4632 5.4632 5.4632 60.00 60.00 60.00
Fractional positions:
Na1 0.5000 0.5000 0.5000
Pr1 0.0000 0.0000 0.0000
Mg1 0.7500 0.7500 0.7500
Mg2 0.2500 0.2500 0.2500

Values from the calculation:
Calculated volume = 115 Å³/f.u.
Calculated formation energy = 0.063 eV per atom